# 1
This record from the Alexandria database describes an optimized crystal structure of Ho3Ga7Fe2. The functional is GGA-PBE.

Cell: 4.516 4.503 11.387 Å, 101.40 90.00 90.00°
Site moments in Bohr magnetons follow the coordinates.
Element x y z (fractional)
Ho 0.500 0.685 0.371  0.00
Ga 0.500 0.094 0.188  -0.03
Ga 0.500 0.906 0.812  -0.03
Ga 0.000 0.785 0.569  -0.02
Ho 0.500 0.315 0.629  0.00
Ga 0.000 0.595 0.190  -0.04
Fe 0.000 0.894 0.788  1.04
Fe 0.000 0.106 0.212  1.04
Ga 0.000 0.215 0.431  -0.02
Ga 0.000 0.000 0.000  -0.02
Ho 0.500 0.500 0.000  0.15
Ga 0.000 0.405 0.810  -0.04

* ρ: 8.01 g/cm3
* spin magnetization: 2.08 μB/f.u.
* formation energy: -448 kJ/mol of formula units
* crystal system: orthorhombic

***

# 2
This record from the Alexandria database describes an optimized crystal structure of TbPmDy5Y2. The functional is GGA-PBE.

Cell: 5.628 10.297 10.596 Å, 90.00 90.00 105.86°
Element x y z (fractional)
Dy 0.390 0.781 0.023
Dy 0.981 0.962 0.525
Dy 0.283 0.565 0.310
Dy 0.717 0.435 0.810
Y 0.110 0.221 0.735
Pm 0.584 0.168 0.954
Dy 0.479 0.957 0.738
Tb 0.201 0.403 0.011
Dy 0.019 0.038 0.025
Y 0.886 0.772 0.820
Y 0.114 0.228 0.320
Pm 0.416 0.832 0.454
Dy 0.702 0.403 0.207
Tb 0.799 0.597 0.511
Dy 0.521 0.043 0.238
Dy 0.298 0.597 0.707
Y 0.890 0.779 0.235
Dy 0.610 0.219 0.523

* ρ: 7.28 g/cm3
* spin magnetization: 0.00 μB/f.u.
* formation energy: 133 kJ/mol of formula units
* crystal system: orthorhombic

***

# 3
This record from the Alexandria database describes an optimized crystal structure of KSr2Mo. The functional is GGA-PBE.

Cell: 12.933 12.933 12.933 Å, 17.46 17.46 17.46°
Site moments in Bohr magnetons follow the coordinates.
Element x y z (fractional)
Mo 0.745 0.745 0.745  2.82
Sr 0.254 0.254 0.254  0.00
Sr 0.017 0.017 0.017  -0.01
K 0.485 0.485 0.485  0.01

* energy relative to the lowest polymorph listed for this composition: 319 meV/atom
* ρ: 3.03 g/cm3
* spin magnetization: 3.45 μB/f.u.
* formation energy: 414 kJ/mol of formula units
* crystal system: trigonal